No. 1
Entry from Alexandria via LeMat-Bulk: crystalline K2InSb at its relaxed geometry (PBE).

Cell: 13.303 5.447 9.917 Å, 90.00 120.39 90.00°
Element x y z (fractional)
K: 0.000 0.000 0.000
K: 0.000 0.000 0.498
K: 0.123 0.500 0.338
K: 0.379 0.000 0.660
K: 0.500 0.500 0.000
K: 0.500 0.500 0.498
K: 0.623 0.000 0.338
K: 0.879 0.500 0.660
In: 0.182 0.500 0.039
In: 0.317 0.000 0.956
In: 0.682 0.000 0.039
In: 0.817 0.500 0.956
Sb: 0.197 0.500 0.743
Sb: 0.304 0.000 0.253
Sb: 0.697 0.000 0.743
Sb: 0.804 0.500 0.253

Computed properties:
energy above the lowest structure with this stoichiometry: 0.0678 eV/atom
ΔE_f (raw): -0.26 eV per atom

---

No. 2
Entry from Alexandria via LeMat-Bulk: crystalline La4Ga3 at its relaxed geometry (PBE).

Cell: 9.081 9.081 9.081 Å, 33.76 33.76 33.76°
Element x y z (fractional)
La: 0.121 0.121 0.121
La: 0.372 0.372 0.372
La: 0.628 0.628 0.628
La: 0.879 0.879 0.879
Ga: 0.250 0.250 0.250
Ga: 0.500 0.500 0.500
Ga: 0.750 0.750 0.750

Computed properties:
E_form: -0.444 eV/atom

---

No. 3
Entry from Alexandria via LeMat-Bulk: crystalline Dy4SBr5 at its relaxed geometry (PBE).

Cell: 9.169 9.169 8.289 Å, 103.75 103.75 24.51°
Element x y z (fractional)
Dy: 0.002 0.002 0.286
Dy: 0.352 0.352 0.428
Dy: 0.648 0.648 0.572
Dy: 0.998 0.998 0.714
S: 0.500 0.500 0.500
Br: 0.163 0.163 0.834
Br: 0.174 0.174 0.326
Br: 0.500 0.500 0.000
Br: 0.826 0.826 0.674
Br: 0.837 0.837 0.166

Computed properties:
ΔE_f (raw): -1.62 eV per atom